*w*
A plane-wave DFT calculation with PBE was carried out for Hg2MoOs after structural relaxation.

Size of the total moment: 1.372 Bohr magnetons per cell
DOS at the Fermi energy: 4.3 states/eV/f.u.

abc: 2.8472 2.8472 8.7849
angles: 90.00 90.00 90.00
Last column: nearest neighbours and their distance in Å.
Space group P4/mmm (No. 123)
Symmetry-distinct sites (fractional):
Hg: 0.0000 0.0000 0.2463  4 Hg 2.85, 4 Os 2.96, 4 Mo 3.00
Mo: 0.5000 0.5000 0.5000  4 Mo 2.85, 8 Hg 3.00
Os: 0.5000 0.5000 0.0000  4 Os 2.85, 8 Hg 2.96

---

*x*
A plane-wave DFT calculation with PBE was carried out for Hg2MoOs after structural relaxation.

Size of the total moment: 0.008 Bohr magnetons per cell
DOS at the Fermi energy: 3.6 states/eV/f.u.

abc: 2.9350 2.9350 28.4278
angles: 90.00 90.00 120.00
Last column: nearest neighbours and their distance in Å.
Space group R-3m (No. 166, hexagonal axes)
Symmetry-distinct sites (fractional):
Hg: 0.0000 0.0000 0.2492  3 Os 2.89, 3 Mo 2.93, 6 Hg 2.94
Mo: 0.0000 0.0000 0.0000  6 Hg 2.93, 6 Mo 2.94
Os: 0.0000 0.0000 0.5000  6 Hg 2.89, 6 Os 2.94

---

*y*
A plane-wave DFT calculation with PBE was carried out for Hg2MoOs after structural relaxation.

Size of the total moment: 0.000 Bohr magnetons per cell
DOS at the Fermi energy: 4.2 states/eV/f.u.

abc: 3.9640 3.9640 4.5497
angles: 90.00 90.00 90.00
Last column: nearest neighbours and their distance in Å.
Space group P4/mmm (No. 123)
Symmetry-distinct sites (fractional):
Hg: 0.0000 0.5000 0.0000  4 Hg 2.80, 4 Mo 3.02, 4 Os 3.02
Mo: 0.0000 0.0000 0.5000  4 Os 2.80, 8 Hg 3.02
Os: 0.5000 0.5000 0.5000  4 Mo 2.80, 8 Hg 3.02

---

*z*
A plane-wave DFT calculation with PBE was carried out for Hg2MoOs after structural relaxation.

Size of the total moment: 1.151 Bohr magnetons per cell
DOS at the Fermi energy: 3.9 states/eV/f.u.

abc: 6.5397 6.5397 6.5397
angles: 90.00 90.00 90.00
Last column: nearest neighbours and their distance in Å.
Space group Fm-3m (No. 225)
Symmetry-distinct sites (fractional):
Hg: 0.2500 0.2500 0.2500  4 Mo 2.83, 4 Os 2.83
Mo: 0.0000 0.0000 0.0000  8 Hg 2.83
Os: 0.0000 0.0000 0.5000  8 Hg 2.83

---

Q: Which of them is the least stable? A: *z*.

---

*w*
A plane-wave DFT calculation with PBE was carried out for Hg2MoOs after structural relaxation.

Size of the total moment: 0.000 Bohr magnetons per cell
DOS at the Fermi energy: 2.8 states/eV/f.u.

abc: 4.2344 4.2344 7.8583
angles: 90.00 90.00 90.00
Last column: nearest neighbours and their distance in Å.
Space group I-4m2 (No. 119)
Symmetry-distinct sites (fractional):
Hg: 0.0000 0.0000 0.0000  4 Hg 2.89, 4 Mo 2.89, 4 Os 2.99
Hg: 0.0000 0.5000 0.2500  4 Hg 2.89, 4 Os 2.89, 4 Mo 2.99
Mo: 0.0000 0.5000 0.7500  8 Hg 2.89-2.99, 4 Os 2.89
Os: 0.0000 0.0000 0.5000  8 Hg 2.89-2.99, 4 Mo 2.89

---

*x*
A plane-wave DFT calculation with PBE was carried out for Hg2MoOs after structural relaxation.

Size of the total moment: 0.005 Bohr magnetons per cell
DOS at the Fermi energy: 5.3 states/eV/f.u.

abc: 2.9493 4.3821 5.5044
angles: 90.00 90.00 90.00
Last column: nearest neighbours and their distance in Å.
Space group Pmmm (No. 47)
Symmetry-distinct sites (fractional):
Hg: 0.0000 0.0000 0.2492  4 Hg 2.74-2.95, 4 Os 2.98, 4 Mo 2.98
Mo: 0.5000 0.5000 0.5000  2 Os 2.75, 2 Mo 2.95, 8 Hg 2.98
Os: 0.5000 0.5000 0.0000  2 Mo 2.75, 2 Os 2.95, 8 Hg 2.98

---

Q: Which of them is the least stable? A: *x*.